A plane-wave DFT calculation with GGA-PBE was carried out for a relaxed CuSb2Se2 crystal.

a b c (Å): 4.789 4.789 5.183
angles (deg): 90.00 90.00 90.00
Positions (direct):
Sb: 0.500 0.500 0.500
Se: 0.000 0.500 0.000
Sb: 0.000 0.000 0.500
Se: 0.500 0.000 0.000
Cu: 0.000 0.000 0.000

Results
DOS(E_F) in states/eV/cell: 5.40
Total energy in eV/atom: -3.50
Symmetry: No. 123
Spin magnetization in Bohr magnetons per cell: 0.00